A plane-wave DFT calculation with PBE-GGA was carried out for an optimized crystal structure of CuRu2Se. Values from VASP.

Cell and atoms, written as Quantum ESPRESSO input:
```
&SYSTEM
  ibrav = 0, nat = 4, ntyp = 3
/
ATOMIC_SPECIES
Cu 63.55 Cu.upf
Ru 101.07 Ru.upf
Se 78.96 Se.upf
ATOMIC_POSITIONS angstrom
Cu 2.7998 -0.9447 1.1398
Ru 0.0000 0.0000 0.0000
Ru 2.0870 -1.0833 -1.3801
Se 0.4759 -2.3660 1.0261
CELL_PARAMETERS angstrom
-0.2370 -2.5046 -1.4938
4.4109 0.3379 -1.2663
1.1887 -2.2273 3.5460
```

Results
Uncorrected formation energy in eV/f.u.: 2.12
Fermi-level density of states in states/eV per atom: 1.177

=====

A plane-wave DFT calculation with PBE-GGA was carried out for an optimized crystal structure of CuRu2Se. Values from VASP.

Cell and atoms, written as Quantum ESPRESSO input:
```
&SYSTEM
  ibrav = 0, nat = 4, ntyp = 3
/
ATOMIC_SPECIES
Cu 63.55 Cu.upf
Ru 101.07 Ru.upf
Se 78.96 Se.upf
ATOMIC_POSITIONS angstrom
Cu -2.3545 1.6378 6.3569
Ru -0.0078 0.0094 0.0184
Ru -0.7225 -0.3280 2.4887
Se -1.5617 1.8811 3.7014
CELL_PARAMETERS angstrom
-2.1635 -1.7125 -0.0425
2.2618 -0.8025 1.3621
-3.1632 3.8101 7.4972
```

Results
Uncorrected formation energy in eV/f.u.: 2.11
Fermi-level density of states in states/eV per atom: 1.008

=====

A plane-wave DFT calculation with PBE-GGA was carried out for an optimized crystal structure of CuRu2Se. Values from VASP.

Cell and atoms, written as Quantum ESPRESSO input:
```
&SYSTEM
  ibrav = 0, nat = 4, ntyp = 3
/
ATOMIC_SPECIES
Cu 63.55 Cu.upf
Ru 101.07 Ru.upf
Se 78.96 Se.upf
ATOMIC_POSITIONS angstrom
Cu 1.5180 1.5180 4.5251
Ru 0.0000 0.0000 0.0097
Ru 0.0000 0.0000 3.0071
Se 1.5180 1.5180 1.5084
CELL_PARAMETERS angstrom
3.0360 0.0000 0.0000
0.0000 3.0360 0.0000
0.0000 0.0000 6.0335
```

Results
Uncorrected formation energy in eV/f.u.: 1.15
Fermi-level density of states in states/eV per atom: 1.059